Here is an optimized crystal structure of Cs3Cd4Ag4 from the Alexandria database. Energies are from PBE-GGA. Values from VASP.

Structure (Quantum ESPRESSO input):
```
&SYSTEM
  ibrav = 0, nat = 11, ntyp = 3
/
ATOMIC_SPECIES
Cs 132.91 Cs.upf
Cd 112.41 Cd.upf
Ag 107.87 Ag.upf
ATOMIC_POSITIONS crystal
Cs 0.5000 0.0000 0.5000
Cs 0.5000 0.5000 0.0000
Cs 0.0000 0.5000 0.5000
Cd 0.0000 0.3998 0.0000
Cd 0.6002 0.6002 0.6002
Cd 0.0000 0.0000 0.3998
Cd 0.3998 0.0000 0.0000
Ag 0.0000 0.7666 0.0000
Ag 0.0000 0.0000 0.7666
Ag 0.2334 0.2334 0.2334
Ag 0.7666 0.0000 0.0000
CELL_PARAMETERS angstrom
-4.4959 4.4959 4.4959
4.4959 -4.4959 4.4959
4.4959 4.4959 -4.4959
```

Output
Uncorrected energy   -1.619 eV per atom
Space-group type   No. 217
ΔH_f (0 K)   -0.0165 eV/atom

Here is an optimized crystal structure of Cs2Cd2Ag from the Alexandria database. Energies are from PBE-GGA. Values from VASP.

Structure (Quantum ESPRESSO input):
```
&SYSTEM
  ibrav = 0, nat = 5, ntyp = 3
/
ATOMIC_SPECIES
Cs 132.91 Cs.upf
Cd 112.41 Cd.upf
Ag 107.87 Ag.upf
ATOMIC_POSITIONS crystal
Cs 0.1878 0.6878 0.3756
Cs 0.8122 0.3122 0.6244
Cd 0.5000 0.7694 0.0000
Cd 0.5000 0.2306 0.0000
Ag 0.0000 0.0000 0.0000
CELL_PARAMETERS angstrom
4.7341 0.0000 -2.2912
-1.4427 5.5327 -2.9809
0.6290 0.3594 7.3361
```

Output
Uncorrected energy   -1.306 eV per atom
Space-group type   No. 71
Excess energy over the best structure of this formula in the dataset   0.0 meV per atom
ΔH_f (0 K)   -0.0283 eV/atom

Here is an optimized crystal structure of Cs2CdAg from the Alexandria database. Energies are from PBE-GGA. Values from VASP.

Structure (Quantum ESPRESSO input):
```
&SYSTEM
  ibrav = 0, nat = 4, ntyp = 3
/
ATOMIC_SPECIES
Cs 132.91 Cs.upf
Ag 107.87 Ag.upf
Cd 112.41 Cd.upf
ATOMIC_POSITIONS crystal
Cs 0.0000 0.0000 0.7678
Cs 0.0000 0.0000 0.2322
Ag 0.5000 0.5000 0.0000
Cd 0.5000 0.5000 0.5000
CELL_PARAMETERS angstrom
4.6183 0.0000 0.0000
0.0000 4.6183 0.0000
0.0000 0.0000 9.2533
```

Output
Uncorrected energy   -1.319 eV per atom
Space-group type   No. 123
Excess energy over the best structure of this formula in the dataset   86.9 meV per atom
ΔH_f (0 K)   0.0495 eV/atom

Here is an optimized crystal structure of CsCd3Ag2 from the Alexandria database. Energies are from PBE-GGA. Values from VASP.

Structure (Quantum ESPRESSO input):
```
&SYSTEM
  ibrav = 0, nat = 12, ntyp = 3
/
ATOMIC_SPECIES
Cs 132.91 Cs.upf
Cd 112.41 Cd.upf
Ag 107.87 Ag.upf
ATOMIC_POSITIONS crystal
Cs 0.2500 0.3537 0.3537
Cs 0.7500 0.6463 0.6463
Cd 0.7500 0.4721 0.0620
Cd 0.7500 0.0620 0.4721
Cd 0.2500 0.5279 0.9380
Cd 0.7500 0.0678 0.0678
Cd 0.2500 0.9322 0.9322
Cd 0.2500 0.9380 0.5279
Ag 0.5000 0.7990 0.2010
Ag 0.0000 0.7990 0.2010
Ag 0.0000 0.2010 0.7990
Ag 0.5000 0.2010 0.7990
CELL_PARAMETERS angstrom
5.9860 0.0000 0.0000
0.0000 7.3388 -2.2309
0.0000 0.3162 7.6639
```

Output
Uncorrected energy   -1.619 eV per atom
Space-group type   No. 63
Excess energy over the best structure of this formula in the dataset   0.0 meV per atom
ΔH_f (0 K)   -0.0690 eV/atom